Here is HfTcOs after structural relaxation from OQMD. Energies are from PBE.

Results
- E above lowest polymorph: 14.87 kcal/mol of atoms
- Formation energy from the elements: 0.84 eV/atom
- Calculated volume: 57.6 Å³/cell

Lattice parameters (Å, degrees): 4.3347 4.3347 4.3347 60.00 60.00 60.00
Fractional coordinates of all 3 atoms:
Os (0.2500, 0.2500, 0.2500)
Hf (0.0000, 0.0000, 0.0000)
Tc (0.7500, 0.7500, 0.7500)

Here is HfTcOs2 after structural relaxation from OQMD. Energies are from PBE.

Results
- Formation energy from the elements: 0.11 eV/atom
- Calculated volume: 63.2 Å³/cell

Lattice parameters (Å, degrees): 4.4701 4.4701 4.4701 60.00 60.00 60.00
Fractional coordinates of all 4 atoms:
Hf (0.2500, 0.2500, 0.2500)
Os (0.7500, 0.7500, 0.7500)
Os (0.5000, 0.5000, 0.5000)
Tc (0.0000, 0.0000, 0.0000)

Here is Hf2TcOs after structural relaxation from OQMD. Energies are from PBE.

Results
- E above lowest polymorph: 11.49 kcal/mol of atoms
- Formation energy from the elements: -0.13 eV/atom
- Calculated volume: 67.9 Å³/cell

Lattice parameters (Å, degrees): 4.5796 4.5796 4.5796 60.00 60.00 60.00
Fractional coordinates of all 4 atoms:
Os (0.2500, 0.2500, 0.2500)
Hf (0.5000, 0.5000, 0.5000)
Hf (0.7500, 0.7500, 0.7500)
Tc (0.0000, 0.0000, 0.0000)

Here is Hf2TcOs after structural relaxation from OQMD. Energies are from PBE.

Results
- E above lowest polymorph: 0.01 kcal/mol of atoms
- Formation energy from the elements: -0.63 eV/atom
- Calculated volume: 274.6 Å³/cell

Lattice parameters (Å, degrees): 6.5031 4.5958 9.1878 90.00 90.00 90.00
Fractional coordinates of all 16 atoms:
Hf (0.5001, 0.2500, 0.3750)
Hf (0.5001, 0.7500, 0.1250)
Hf (0.0001, 0.7500, 0.1250)
Hf (0.4999, 0.2500, 0.8750)
Hf (0.9999, 0.7500, 0.6250)
Hf (0.0000, 0.2500, 0.3750)
Hf (0.9999, 0.2500, 0.8750)
Hf (0.4999, 0.7500, 0.6250)
Tc (0.7499, 0.2500, 0.6250)
Tc (0.7501, 0.2500, 0.1250)
Tc (0.2499, 0.7500, 0.8750)
Tc (0.2501, 0.7500, 0.3750)
Os (0.2499, 0.2500, 0.6250)
Os (0.2501, 0.2500, 0.1250)
Os (0.7499, 0.7500, 0.8750)
Os (0.7501, 0.7500, 0.3750)

Here is HfTcOs2 after structural relaxation from OQMD. Energies are from PBE.

Results
- Formation energy from the elements: 0.11 eV/atom
- Calculated volume: 63.2 Å³/cell

Lattice parameters (Å, degrees): 4.4701 4.4701 4.4701 60.00 60.00 60.00
Fractional coordinates of all 4 atoms:
Os (0.0000, 0.0000, 0.0000)
Os (0.2500, 0.2500, 0.2500)
Tc (0.7500, 0.7500, 0.7500)
Hf (0.5000, 0.5000, 0.5000)

Here is Hf2TcOs after structural relaxation from OQMD. Energies are from PBE.

Results
- E above lowest polymorph: 0.00 kcal/mol of atoms
- Formation energy from the elements: -0.63 eV/atom
- Calculated volume: 413.1 Å³/cell

Lattice parameters (Å, degrees): 4.5996 6.5078 13.8010 90.00 90.00 90.00
Fractional coordinates of all 24 atoms:
Hf (0.0000, 0.2500, 0.5000)
Hf (0.5000, 0.2500, 0.0000)
Hf (0.0000, 0.2500, 0.1667)
Hf (0.5000, 0.7500, 0.3333)
Hf (0.0000, 0.7500, 0.5000)
Hf (0.5000, 0.7500, 0.0000)
Hf (0.0000, 0.7500, 0.8333)
Hf (0.5000, 0.2500, 0.3333)
Hf (0.5000, 0.7500, 0.6667)
Hf (0.5000, 0.2500, 0.6667)
Hf (0.0000, 0.2500, 0.8333)
Hf (0.0000, 0.7500, 0.1667)
Tc (0.5000, 0.0000, 0.1666)
Tc (0.0000, 0.5000, 0.0000)
Tc (0.0000, 0.5000, 0.6666)
Tc (0.5000, 0.0000, 0.8334)
Tc (0.5000, 0.0000, 0.5000)
Tc (0.0000, 0.5000, 0.3334)
Os (0.0000, 0.0000, 0.6667)
Os (0.0000, 0.0000, 0.0000)
Os (0.5000, 0.5000, 0.5000)
Os (0.5000, 0.5000, 0.1667)
Os (0.0000, 0.0000, 0.3333)
Os (0.5000, 0.5000, 0.8333)

Here is Hf2TcOs after structural relaxation from OQMD. Energies are from PBE.

Results
- E above lowest polymorph: 0.17 kcal/mol of atoms
- Formation energy from the elements: -0.62 eV/atom
- Calculated volume: 274.0 Å³/cell

Lattice parameters (Å, degrees): 6.4752 6.5094 6.5007 90.00 90.00 90.00
Fractional coordinates of all 16 atoms:
Tc (0.2499, 0.7500, 0.5002)
Tc (0.7499, 0.2500, 0.9998)
Tc (0.2501, 0.7500, 0.0002)
Tc (0.7501, 0.2500, 0.4998)
Os (0.7500, 0.7500, 0.9997)
Os (0.2500, 0.2500, 0.0003)
Os (0.2500, 0.2500, 0.5003)
Os (0.7500, 0.7500, 0.4997)
Hf (0.0003, 0.0000, 0.7500)
Hf (0.9997, 0.5001, 0.2500)
Hf (0.5003, 0.0000, 0.7500)
Hf (0.0003, 0.4999, 0.7500)
Hf (0.4997, 0.4999, 0.2500)
Hf (0.4997, 0.0000, 0.2500)
Hf (0.9997, 0.0000, 0.2500)
Hf (0.5003, 0.5001, 0.7500)

Here is HfTcOs after structural relaxation from OQMD. Energies are from PBE.

Results
- E above lowest polymorph: 0.00 kcal/mol of atoms
- Formation energy from the elements: 0.20 eV/atom
- Calculated volume: 57.6 Å³/cell

Lattice parameters (Å, degrees): 4.3356 4.3356 4.3356 60.00 60.00 60.00
Fractional coordinates of all 3 atoms:
Os (0.0000, 0.0000, 0.0000)
Tc (0.7500, 0.7500, 0.7500)
Hf (0.2500, 0.2500, 0.2500)

Here is Hf2Te3Os2 after structural relaxation from OQMD. Energies are from PBE.

Results
- Calculated volume: 144.7 Å³/cell

Lattice parameters (Å, degrees): 12.6263 12.6263 3.3597 90.00 90.00 164.33
Fractional coordinates of all 7 atoms:
Os (0.9413, 0.0587, 0.0000)
Os (0.0587, 0.9413, 0.0000)
Hf (0.1980, 0.8020, 0.0000)
Hf (0.8020, 0.1980, 0.0000)
Te (0.3662, 0.6338, 0.5000)
Te (0.5000, 0.5000, 0.5000)
Te (0.6338, 0.3662, 0.5000)

Here is HfTeOs2 after structural relaxation from OQMD. Energies are from PBE.

Results
- Calculated volume: 70.8 Å³/cell

Lattice parameters (Å, degrees): 4.6442 4.6442 4.6442 60.00 60.00 60.00
Fractional coordinates of all 4 atoms:
Hf (0.2500, 0.2500, 0.2500)
Os (0.7500, 0.7500, 0.7500)
Os (0.0000, 0.0000, 0.0000)
Te (0.5000, 0.5000, 0.5000)

Here is HfThOs after structural relaxation from OQMD. Energies are from PBE.

Results
- E above lowest polymorph: 23.31 kcal/mol of atoms
- Formation energy from the elements: 0.89 eV/atom
- Calculated volume: 72.7 Å³/cell

Lattice parameters (Å, degrees): 4.6842 4.6842 4.6842 60.00 60.00 60.00
Fractional coordinates of all 3 atoms:
Hf (0.5000, 0.5000, 0.5000)
Os (0.0000, 0.0000, 0.0000)
Th (0.2500, 0.2500, 0.2500)

Here is HfThOs after structural relaxation from OQMD. Energies are from PBE.

Results
- E above lowest polymorph: 0.00 kcal/mol of atoms
- Formation energy from the elements: -0.12 eV/atom
- Calculated volume: 76.2 Å³/cell

Lattice parameters (Å, degrees): 4.7579 4.7579 4.7579 60.00 60.00 60.00
Fractional coordinates of all 3 atoms:
Os (0.0000, 0.0000, 0.0000)
Hf (0.2500, 0.2500, 0.2500)
Th (0.7500, 0.7500, 0.7500)

Number 1: electronic total energy -9.6690 eV per atom. Number 2: electronic total energy -10.5867 eV per atom. Number 3: electronic total energy -10.5042 eV per atom. Number 4: electronic total energy -11.0018 eV per atom. Number 5: electronic total energy -10.5866 eV per atom. Number 6: electronic total energy -11.0022 eV per atom. Number 7: electronic total energy -10.9947 eV per atom. Number 8: electronic total energy -10.3138 eV per atom. Number 9: electronic total energy -6.8122 eV per atom. Number 10: electronic total energy -8.3201 eV per atom. Number 11: electronic total energy -8.6381 eV per atom. Number 12: electronic total energy -9.6489 eV per atom.